[1]
# TbSbP2Rh5 PBE-GGA optimized geometry
# Symmetry: P4/mmm, No. 123
# Formation energy (no corrections) (meV/atom): -711
data_TbSbP2Rh5
_chemical_formula_sum 'Tb1 Sb1 P2 Rh5'
_cell_length_a 4.031
_cell_length_b 4.031
_cell_length_c 10.203
_cell_angle_alpha 90.00
_cell_angle_beta 90.00
_cell_angle_gamma 90.00
_space_group_name_H-M_alt 'P 1'
_space_group_IT_number 1
_space_group_name_Hall 'P 1'
loop_
_atom_site_label
_atom_site_fract_x
_atom_site_fract_y
_atom_site_fract_z
Rh1 0.500 0.500 0.500
Rh2 0.000 0.500 0.173
Rh3 0.500 0.000 0.173
Rh4 0.000 0.500 0.827
Sb1 0.000 0.000 0.000
Rh5 0.500 0.000 0.827
P1 0.500 0.500 0.721
P2 0.500 0.500 0.279
Tb1 0.000 0.000 0.500

---

[2]
# Cs2Na2SrB18O30 PBE-GGA optimized geometry
# Symmetry: P2_1/c, No. 14
# Formation energy (no corrections) (meV/atom): -2479
data_Cs2Na2SrB18O30
_chemical_formula_sum 'Cs4 Na4 Sr2 B36 O60'
_cell_length_a 8.657
_cell_length_b 8.628
_cell_length_c 17.477
_cell_angle_alpha 86.37
_cell_angle_beta 90.00
_cell_angle_gamma 90.00
_space_group_name_H-M_alt 'P 1'
_space_group_IT_number 1
_space_group_name_Hall 'P 1'
loop_
_atom_site_label
_atom_site_fract_x
_atom_site_fract_y
_atom_site_fract_z
O1 0.162 0.499 0.911
O2 0.467 0.230 0.045
O3 0.208 0.947 0.634
O4 0.213 0.671 0.604
B1 0.333 0.850 0.345
B2 0.141 0.327 0.912
O5 0.520 0.281 0.432
B3 0.140 0.625 0.094
Sr1 0.500 0.000 0.500
O6 0.956 0.247 0.116
O7 0.292 0.947 0.134
B4 0.960 0.406 0.106
O8 0.020 0.719 0.068
O9 0.629 0.989 0.637
O10 0.838 0.501 0.089
B5 0.640 0.375 0.406
B6 0.809 0.048 0.289
B7 0.327 0.132 0.313
B8 0.896 0.779 0.527
O11 0.677 0.192 0.128
B9 0.651 0.172 0.916
B10 0.104 0.221 0.473
O12 0.287 0.671 0.104
B11 0.167 0.850 0.845
O13 0.662 0.171 0.738
O14 0.787 0.329 0.396
O15 0.033 0.230 0.545
O16 0.129 0.011 0.863
O17 0.701 0.122 0.996
B12 0.309 0.952 0.211
B13 0.380 0.822 0.944
B14 0.040 0.594 0.894
O18 0.239 0.250 0.972
O19 0.520 0.813 0.090
O20 0.292 0.104 0.237
O21 0.109 0.468 0.116
B15 0.641 0.673 0.588
O22 0.761 0.750 0.028
B16 0.349 0.828 0.084
B17 0.173 0.132 0.813
Na1 0.761 0.774 0.883
O23 0.677 0.717 0.667
O24 0.162 0.829 0.762
B18 0.880 0.178 0.556
B19 0.849 0.172 0.416
O25 0.323 0.808 0.872
O26 0.299 0.878 0.004
B20 0.540 0.406 0.606
B21 0.360 0.625 0.594
O27 0.980 0.281 0.932
O28 0.708 0.896 0.763
B22 0.120 0.822 0.444
O29 0.338 0.499 0.411
B23 0.359 0.327 0.412
O30 0.823 0.717 0.167
Cs1 0.959 0.493 0.696
B24 0.620 0.178 0.056
O31 0.201 0.878 0.504
O32 0.708 0.053 0.866
O33 0.792 0.053 0.366
O34 0.871 0.989 0.137
B25 0.827 0.868 0.187
O35 0.823 0.192 0.628
Sr2 0.000 0.000 0.000
Na2 0.239 0.226 0.117
B26 0.673 0.868 0.687
B27 0.604 0.779 0.027
O36 0.739 0.750 0.528
O37 0.533 0.770 0.955
O38 0.456 0.753 0.384
O39 0.713 0.329 0.896
Cs2 0.541 0.493 0.196
B28 0.667 0.150 0.655
O40 0.967 0.770 0.455
O41 0.044 0.753 0.884
B29 0.460 0.594 0.394
B30 0.860 0.375 0.906
Na3 0.261 0.226 0.617
O42 0.177 0.283 0.833
O43 0.544 0.247 0.616
B31 0.691 0.048 0.789
O44 0.177 0.808 0.372
B32 0.191 0.952 0.711
O45 0.609 0.532 0.384
O46 0.391 0.468 0.616
O47 0.371 0.011 0.363
O48 0.208 0.104 0.737
B33 0.833 0.150 0.155
Cs3 0.459 0.507 0.804
B34 0.151 0.828 0.584
O49 0.020 0.187 0.410
O50 0.662 0.501 0.589
Cs4 0.041 0.507 0.304
O51 0.480 0.719 0.568
B35 0.859 0.673 0.088
O52 0.261 0.250 0.472
O53 0.338 0.829 0.262
Na4 0.739 0.774 0.383
B36 0.396 0.221 0.973
O54 0.799 0.122 0.496
O55 0.323 0.283 0.333
O56 0.480 0.187 0.910
O57 0.838 0.171 0.238
O58 0.891 0.532 0.884
O59 0.792 0.896 0.263
O60 0.980 0.813 0.590

---

[3]
# Mg4In15Ga PBE-GGA optimized geometry
# Symmetry: P4/mmm, No. 123
# DFT formation energy (meV per atom): -25
data_Mg4In15Ga
_chemical_formula_sum 'Mg4 In15 Ga1'
_cell_length_a 4.613
_cell_length_b 4.613
_cell_length_c 23.622
_cell_angle_alpha 90.00
_cell_angle_beta 90.00
_cell_angle_gamma 90.00
_space_group_name_H-M_alt 'P 1'
_space_group_IT_number 1
_space_group_name_Hall 'P 1'
loop_
_atom_site_label
_atom_site_fract_x
_atom_site_fract_y
_atom_site_fract_z
Ga1 0.000 0.000 0.000
In1 0.500 0.500 0.599
Mg1 0.000 0.000 0.400
In2 0.500 0.500 0.401
Mg2 0.000 0.000 0.600
In3 0.000 0.500 0.100
Mg3 0.000 0.000 0.800
In4 0.500 0.500 0.000
In5 0.500 0.000 0.300
In6 0.000 0.500 0.700
In7 0.000 0.500 0.500
In8 0.000 0.500 0.300
Mg4 0.000 0.000 0.200
In9 0.500 0.000 0.100
In10 0.500 0.500 0.800
In11 0.000 0.500 0.900
In12 0.500 0.000 0.900
In13 0.500 0.000 0.500
In14 0.500 0.500 0.200
In15 0.500 0.000 0.700

---

[4]
# Nb3VRu4 PBE-GGA optimized geometry
# Symmetry: P4/mmm, No. 123
# DFT formation energy (meV per atom): -220
data_Nb3VRu4
_chemical_formula_sum 'Nb3 V1 Ru4'
_cell_length_a 3.017
_cell_length_b 3.017
_cell_length_c 13.640
_cell_angle_alpha 90.00
_cell_angle_beta 90.00
_cell_angle_gamma 90.00
_space_group_name_H-M_alt 'P 1'
_space_group_IT_number 1
_space_group_name_Hall 'P 1'
loop_
_atom_site_label
_atom_site_fract_x
_atom_site_fract_y
_atom_site_fract_z
Nb1 0.500 0.500 0.757
V1 0.500 0.500 0.000
Nb2 0.500 0.500 0.500
Ru1 0.000 0.000 0.106
Ru2 0.000 0.000 0.377
Nb3 0.500 0.500 0.243
Ru3 0.000 0.000 0.623
Ru4 0.000 0.000 0.894

---

Number 1: total magnetization 0.00 μB/cell, E_tot -6.970 eV per atom. Number 2: total magnetization 0.00 μB/cell, E_tot -7.667 eV per atom. Number 3: total magnetization 0.00 μB/cell, E_tot -2.549 eV per atom. Number 4: total magnetization 0.00 μB/cell, E_tot -9.774 eV per atom.